(1)
The following is a PBE-GGA calculation of a relaxed structure of RbNiI2Cl, from Alexandria.

Results
formation energy (no corrections) = -0.695 eV/atom
symmetry = P4/mmm

Lattice parameters (Å, degrees): 5.556 5.556 4.810 90.00 90.00 90.00
Positions (direct):
Rb 0.000 0.000 0.000
Ni 0.500 0.500 0.500
I 0.000 0.500 0.500
I 0.500 0.000 0.500
Cl 0.500 0.500 0.000

=====

(2)
The following is a PBE-GGA calculation of a relaxed structure of Ti2IBrF, from Alexandria.

Results
formation energy (no corrections) = 0.481 eV/atom
symmetry = P4/mmm

Lattice parameters (Å, degrees): 4.921 4.921 6.061 90.00 90.00 90.00
Positions (direct):
Ti 0.000 0.500 0.000
Ti 0.500 0.000 0.000
I 0.000 0.000 0.500
Br 0.000 0.000 0.000
F 0.500 0.500 0.500

=====

(3)
The following is a PBE-GGA calculation of a relaxed structure of ZnRe2Cl, from Alexandria.

Results
ΔE to the lowest computed polymorph = 0.365 eV per atom
formation energy (no corrections) = 0.439 eV/atom
symmetry = Cmm2

Lattice parameters (Å, degrees): 2.865 2.865 8.748 90.00 90.00 117.97
Positions (direct):
Zn 0.000 0.000 0.000
Re 0.000 0.000 0.506
Re 0.500 0.500 0.743
Cl 0.500 0.500 0.239

=====

(4)
The following is a PBE-GGA calculation of a relaxed structure of NdGa2PdRu, from Alexandria.

Results
energy relative to the elements = -628 meV/atom
symmetry = I-4m2

Lattice parameters (Å, degrees): 5.948 5.948 5.948 137.56 137.56 61.57
Positions (direct):
Nd 0.000 0.000 0.000
Ga 0.374 0.374 0.000
Ga 0.626 0.626 0.000
Pd 0.750 0.250 0.500
Ru 0.250 0.750 0.500

=====

(5)
The following is a PBE-GGA calculation of a relaxed structure of CaTeAu2, from Alexandria.

Results
ΔE to the lowest computed polymorph = 0.121 eV per atom
formation energy (no corrections) = -0.465 eV/atom
symmetry = F-43m

Lattice parameters (Å, degrees): 5.099 5.099 5.099 60.00 60.00 60.00
Positions (direct):
Ca 0.000 0.000 0.000
Te 0.250 0.250 0.250
Au 0.500 0.500 0.500
Au 0.750 0.750 0.750

=====

(6)
The following is a PBE-GGA calculation of a relaxed structure of Ba2TePPd, from Alexandria.

Results
formation energy (no corrections) = -1.067 eV/atom
symmetry = P4/mmm

Lattice parameters (Å, degrees): 6.241 6.241 4.466 90.00 90.00 90.00
Positions (direct):
Ba 0.000 0.500 0.000
Ba 0.500 0.000 0.000
Te 0.000 0.000 0.500
P 0.500 0.500 0.000
Pd 0.500 0.500 0.500

=====

(7)
The following is a PBE-GGA calculation of a relaxed structure of Pr3Pu2Rh3, from Alexandria.

Results
energy relative to the elements = -462 meV/atom
symmetry = Cmcm

Lattice parameters (Å, degrees): 6.711 6.711 15.113 90.00 90.00 143.61
Positions (direct):
Pr 0.058 0.942 0.622
Pr 0.058 0.942 0.878
Pr 0.353 0.647 0.750
Pr 0.647 0.353 0.250
Pr 0.942 0.058 0.122
Pr 0.942 0.058 0.378
Pu 0.226 0.774 0.085
Pu 0.226 0.774 0.415
Pu 0.774 0.226 0.585
Pu 0.774 0.226 0.915
Rh 0.324 0.676 0.250
Rh 0.401 0.599 0.538
Rh 0.401 0.599 0.962
Rh 0.599 0.401 0.038
Rh 0.599 0.401 0.462
Rh 0.676 0.324 0.750

=====

(8)
The following is a PBE-GGA calculation of a relaxed structure of ZnAs3Br, from Alexandria.

Results
ΔE to the lowest computed polymorph = 0.000 eV per atom
formation energy (no corrections) = 0.749 eV/atom
symmetry = Pm-3m

Lattice parameters (Å, degrees): 4.922 4.922 4.922 90.00 90.00 90.00
Positions (direct):
Zn 0.000 0.000 0.000
As 0.000 0.000 0.500
As 0.000 0.500 0.000
As 0.500 0.000 0.000
Br 0.500 0.500 0.500

=====

(9)
The following is a PBE-GGA calculation of a relaxed structure of ReNi2Pt, from Alexandria.

Results
ΔE to the lowest computed polymorph = 0.145 eV per atom
energy relative to the elements = 63 meV/atom
symmetry = Fm-3m

Lattice parameters (Å, degrees): 4.184 4.184 4.184 60.00 60.00 60.00
Positions (direct):
Re 0.000 0.000 0.000
Ni 0.250 0.250 0.250
Ni 0.750 0.750 0.750
Pt 0.500 0.500 0.500

=====

(10)
The following is a PBE-GGA calculation of a relaxed structure of Ba2Os, from Alexandria.

Results
ΔE to the lowest computed polymorph = 0.618 eV per atom
energy relative to the elements = 838 meV/atom
symmetry = P-3m1

Lattice parameters (Å, degrees): 4.631 4.631 6.950 90.00 90.00 120.00
Positions (direct):
Ba 0.333 0.667 0.273
Ba 0.667 0.333 0.727
Os 0.000 0.000 0.500

=====

(11)
The following is a PBE-GGA calculation of a relaxed structure of CoSb2TeI, from Alexandria.

Results
ΔE to the lowest computed polymorph = 0.000 eV per atom
formation energy (no corrections) = 0.336 eV/atom
symmetry = P4/mmm

Lattice parameters (Å, degrees): 4.991 4.991 5.312 90.00 90.00 90.00
Positions (direct):
Co 0.000 0.000 0.000
Sb 0.000 0.500 0.000
Sb 0.500 0.000 0.000
Te 0.000 0.000 0.500
I 0.500 0.500 0.500

=====

(12)
The following is a PBE-GGA calculation of a relaxed structure of CdTcBr2, from Alexandria.

Results
ΔE to the lowest computed polymorph = 0.589 eV per atom
formation energy (no corrections) = 0.617 eV/atom
symmetry = Fm-3m

Lattice parameters (Å, degrees): 5.059 5.059 5.059 60.00 60.00 60.00
Positions (direct):
Cd 0.000 0.000 0.000
Tc 0.500 0.500 0.500
Br 0.250 0.250 0.250
Br 0.750 0.750 0.750

=====

(13)
The following is a PBE-GGA calculation of a relaxed structure of SrSbRh2, from Alexandria.

Results
formation energy (no corrections) = -0.548 eV/atom
symmetry = C2/m

Lattice parameters (Å, degrees): 4.531 4.531 5.906 112.49 112.49 60.00
Positions (direct):
Sr 0.000 0.000 0.000
Sb 0.500 0.500 0.500
Rh 0.196 0.196 0.589
Rh 0.804 0.804 0.411

=====

(14)
The following is a PBE-GGA calculation of a relaxed structure of Ta3TiIr, from Alexandria.

Results
ΔE to the lowest computed polymorph = 0.000 eV per atom
energy relative to the elements = 1060 meV/atom
symmetry = Pm-3m

Lattice parameters (Å, degrees): 4.847 4.847 4.847 90.00 90.00 90.00
Positions (direct):
Ta 0.000 0.000 0.500
Ta 0.000 0.500 0.000
Ta 0.500 0.000 0.000
Ti 0.500 0.500 0.500
Ir 0.000 0.000 0.000

=====

(15)
The following is a PBE-GGA calculation of a relaxed structure of LiTh2Pd6, from Alexandria.

Results
energy relative to the elements = -788 meV/atom
symmetry = P-3m1

Lattice parameters (Å, degrees): 5.826 5.826 5.619 90.00 90.00 120.00
Positions (direct):
Li 0.000 0.000 0.000
Th 0.333 0.667 0.213
Th 0.667 0.333 0.787
Pd 0.171 0.342 0.703
Pd 0.171 0.829 0.703
Pd 0.342 0.171 0.297
Pd 0.658 0.829 0.703
Pd 0.829 0.171 0.297
Pd 0.829 0.658 0.297

=====

(16)
The following is a PBE-GGA calculation of a relaxed structure of MgZn4Ru, from Alexandria.

Results
ΔE to the lowest computed polymorph = 0.092 eV per atom
energy relative to the elements = -42 meV/atom
symmetry = F-43m

Lattice parameters (Å, degrees): 4.999 4.999 4.999 60.00 60.00 60.00
Positions (direct):
Mg 0.000 0.000 0.000
Zn 0.376 0.376 0.376
Zn 0.376 0.376 0.872
Zn 0.376 0.872 0.376
Zn 0.872 0.376 0.376
Ru 0.750 0.750 0.750

=====

(17)
The following is a PBE-GGA calculation of a relaxed structure of CaCdOs, from Alexandria.

Results
ΔE to the lowest computed polymorph = 0.000 eV per atom
energy relative to the elements = 426 meV/atom
symmetry = P3m1

Lattice parameters (Å, degrees): 4.967 4.967 2.811 90.00 90.00 120.00
Positions (direct):
Ca 0.000 0.000 0.000
Cd 0.667 0.333 0.463
Os 0.333 0.667 0.536

=====

(18)
The following is a PBE-GGA calculation of a relaxed structure of Tb3ErSc2Te6, from Alexandria.

Results
formation energy (no corrections) = -1.221 eV/atom
symmetry = C2/m

Lattice parameters (Å, degrees): 9.616 9.616 8.630 103.27 103.27 25.73
Positions (direct):
Tb 0.000 0.000 0.000
Tb 0.337 0.337 0.671
Tb 0.663 0.663 0.329
Er 0.000 0.000 0.500
Sc 0.333 0.333 0.166
Sc 0.667 0.667 0.834
Te 0.168 0.168 0.593
Te 0.170 0.170 0.074
Te 0.494 0.494 0.250
Te 0.506 0.506 0.750
Te 0.830 0.830 0.926
Te 0.832 0.832 0.407

=====

(19)
The following is a PBE-GGA calculation of a relaxed structure of Ta2Hg2Au, from Alexandria.

Results
ΔE to the lowest computed polymorph = 0.000 eV per atom
energy relative to the elements = 639 meV/atom
symmetry = P4/mbm

Lattice parameters (Å, degrees): 8.197 8.197 3.077 90.00 90.00 90.00
Positions (direct):
Ta 0.118 0.382 0.000
Ta 0.382 0.882 0.000
Ta 0.618 0.118 0.000
Ta 0.882 0.618 0.000
Hg 0.179 0.679 0.500
Hg 0.321 0.179 0.500
Hg 0.679 0.821 0.500
Hg 0.821 0.321 0.500
Au 0.000 0.000 0.000
Au 0.500 0.500 0.000

=====

(20)
The following is a PBE-GGA calculation of a relaxed structure of CoSb2Mo, from Alexandria.

Results
formation energy (no corrections) = 0.242 eV/atom
symmetry = P4mm

Lattice parameters (Å, degrees): 3.591 3.591 5.619 90.00 90.00 90.00
Positions (direct):
Co 0.000 0.000 0.000
Sb 0.000 0.000 0.514
Sb 0.500 0.500 0.860
Mo 0.500 0.500 0.334

=====

(21)
The following is a PBE-GGA calculation of a relaxed structure of Re2Ir3, from Alexandria.

Results
ΔE to the lowest computed polymorph = 0.512 eV per atom
energy relative to the elements = 532 meV/atom
symmetry = P-3m1

Lattice parameters (Å, degrees): 4.229 4.229 5.358 90.00 90.00 120.00
Positions (direct):
Re 0.333 0.667 0.354
Re 0.667 0.333 0.646
Ir 0.000 0.000 0.500
Ir 0.333 0.667 0.873
Ir 0.667 0.333 0.127

=====

(22)
The following is a PBE-GGA calculation of a relaxed structure of InTe2As, from Alexandria.

Results
ΔE to the lowest computed polymorph = 0.264 eV per atom
formation energy (no corrections) = 0.167 eV/atom
symmetry = I-4m2

Lattice parameters (Å, degrees): 8.663 8.663 8.663 152.68 152.68 39.02
Positions (direct):
In 0.000 0.000 0.000
Te 0.250 0.750 0.500
Te 0.500 0.500 0.000
As 0.750 0.250 0.500

=====

(23)
The following is a PBE-GGA calculation of a relaxed structure of CuRh3, from Alexandria.

Results
energy relative to the elements = 46 meV/atom
symmetry = C2/m

Lattice parameters (Å, degrees): 4.664 4.664 4.637 100.03 100.03 33.82
Positions (direct):
Cu 0.000 0.000 0.000
Rh 0.249 0.249 0.752
Rh 0.500 0.500 0.500
Rh 0.751 0.751 0.248

=====

(24)
The following is a PBE-GGA calculation of a relaxed structure of CsSbTeH, from Alexandria.

Results
ΔE to the lowest computed polymorph = 0.045 eV per atom
symmetry = Pmm2

Lattice parameters (Å, degrees): 4.497 4.846 6.375 90.00 90.00 90.00
Positions (direct):
Cs 0.000 0.000 0.000
Sb 0.000 0.500 0.480
Te 0.500 0.000 0.494
H 0.000 0.500 0.754

=====

(25)
The following is a PBE-GGA calculation of a relaxed structure of ScTe2RhN, from Alexandria.

Results
ΔE to the lowest computed polymorph = 0.000 eV per atom
formation energy (no corrections) = -0.028 eV/atom
symmetry = P4/mmm

Lattice parameters (Å, degrees): 5.440 5.440 3.716 90.00 90.00 90.00
Positions (direct):
Sc 0.000 0.000 0.000
Te 0.000 0.500 0.500
Te 0.500 0.000 0.500
Rh 0.500 0.500 0.500
N 0.500 0.500 0.000

=====

(26)
The following is a PBE-GGA calculation of a relaxed structure of AcLaTlIr, from Alexandria.

Results
ΔE to the lowest computed polymorph = 0.000 eV per atom
energy relative to the elements = -425 meV/atom
symmetry = Cm

Lattice parameters (Å, degrees): 4.116 4.116 9.174 102.95 102.95 59.98
Positions (direct):
Ac 0.000 0.000 0.000
La 0.135 0.135 0.407
Tl 0.566 0.566 0.701
Ir 0.404 0.404 0.215

=====

(27)
The following is a PBE-GGA calculation of a relaxed structure of Y2MgP, from Alexandria.

Results
ΔE to the lowest computed polymorph = 0.303 eV per atom
energy relative to the elements = -475 meV/atom
symmetry = Cmmm

Lattice parameters (Å, degrees): 4.900 4.900 3.819 90.00 90.00 90.06
Positions (direct):
Y 0.000 0.500 0.000
Y 0.500 0.000 0.000
Mg 0.000 0.000 0.500
P 0.500 0.500 0.500

=====

(28)
The following is a PBE-GGA calculation of a relaxed structure of Sm3BiPb2, from Alexandria.

Results
energy relative to the elements = -565 meV/atom
symmetry = Immm

Lattice parameters (Å, degrees): 8.120 8.120 8.120 149.12 133.43 56.93
Positions (direct):
Sm 0.000 0.000 0.000
Sm 0.336 0.336 0.000
Sm 0.664 0.664 0.000
Bi 0.500 0.000 0.500
Pb 0.168 0.668 0.500
Pb 0.832 0.332 0.500

=====

Number 1: calculated density 4.8 g/cm3, DOS at the Fermi energy 2.87 states/eV per cell, magnetic moment 0.1 Bohr magnetons per cell. Number 2: calculated density 3.6 g/cm3, DOS at the Fermi energy 4.11 states/eV per cell, magnetic moment 4.9 Bohr magnetons per cell. Number 3: calculated density 12.4 g/cm3, DOS at the Fermi energy 2.45 states/eV per cell, magnetic moment 0.0 Bohr magnetons per cell. Number 4: calculated density 8.6 g/cm3, DOS at the Fermi energy 3.07 states/eV per cell, magnetic moment 0.0 Bohr magnetons per cell. Number 5: calculated density 10.0 g/cm3, DOS at the Fermi energy 0.48 states/eV per cell, magnetic moment 0.0 Bohr magnetons per cell. Number 6: calculated density 5.2 g/cm3, DOS at the Fermi energy 2.15 states/eV per cell, magnetic moment 0.0 Bohr magnetons per cell. Number 7: calculated density 10.0 g/cm3, DOS at the Fermi energy 37.88 states/eV per cell, magnetic moment 21.8 Bohr magnetons per cell. Number 8: calculated density 5.2 g/cm3, DOS at the Fermi energy 5.55 states/eV per cell, magnetic moment 0.0 Bohr magnetons per cell. Number 9: calculated density 16.0 g/cm3, DOS at the Fermi energy 5.47 states/eV per cell, magnetic moment 0.0 Bohr magnetons per cell. Number 10: calculated density 6.0 g/cm3, DOS at the Fermi energy 5.05 states/eV per cell, magnetic moment 0.4 Bohr magnetons per cell. Number 11: calculated density 7.0 g/cm3, DOS at the Fermi energy 4.83 states/eV per cell, magnetic moment 0.0 Bohr magnetons per cell. Number 12: calculated density 6.7 g/cm3, DOS at the Fermi energy 4.34 states/eV per cell, magnetic moment 3.3 Bohr magnetons per cell. Number 13: calculated density 7.3 g/cm3, DOS at the Fermi energy 1.79 states/eV per cell, magnetic moment 0.0 Bohr magnetons per cell. Number 14: calculated density 11.4 g/cm3, DOS at the Fermi energy 5.16 states/eV per cell, magnetic moment 1.8 Bohr magnetons per cell. Number 15: calculated density 11.2 g/cm3, DOS at the Fermi energy 2.38 states/eV per cell, magnetic moment 0.0 Bohr magnetons per cell. Number 16: calculated density 7.3 g/cm3, DOS at the Fermi energy 3.22 states/eV per cell, magnetic moment 0.0 Bohr magnetons per cell. Number 17: calculated density 9.5 g/cm3, DOS at the Fermi energy 2.95 states/eV per cell, magnetic moment 0.0 Bohr magnetons per cell. Number 18: calculated density 7.4 g/cm3, DOS at the Fermi energy 7.08 states/eV per cell, magnetic moment 0.0 Bohr magnetons per cell. Number 19: calculated density 15.4 g/cm3, DOS at the Fermi energy 6.51 states/eV per cell, magnetic moment 0.0 Bohr magnetons per cell. Number 20: calculated density 9.1 g/cm3, DOS at the Fermi energy 3.36 states/eV per cell, magnetic moment 0.9 Bohr magnetons per cell. Number 21: calculated density 19.0 g/cm3, DOS at the Fermi energy 7.80 states/eV per cell, magnetic moment 0.0 Bohr magnetons per cell. Number 22: calculated density 5.4 g/cm3, DOS at the Fermi energy 2.14 states/eV per cell, magnetic moment 0.0 Bohr magnetons per cell. Number 23: calculated density 11.2 g/cm3, DOS at the Fermi energy 4.08 states/eV per cell, magnetic moment 0.0 Bohr magnetons per cell. Number 24: calculated density 4.6 g/cm3, DOS at the Fermi energy 1.45 states/eV per cell, magnetic moment 0.0 Bohr magnetons per cell. Number 25: calculated density 6.3 g/cm3, DOS at the Fermi energy 4.13 states/eV per cell, magnetic moment 0.0 Bohr magnetons per cell. Number 26: calculated density 9.7 g/cm3, DOS at the Fermi energy 3.29 states/eV per cell, magnetic moment 0.0 Bohr magnetons per cell. Number 27: calculated density 4.2 g/cm3, DOS at the Fermi energy 2.53 states/eV per cell, magnetic moment 0.0 Bohr magnetons per cell. Number 28: calculated density 9.0 g/cm3, DOS at the Fermi energy 5.42 states/eV per cell, magnetic moment 0.0 Bohr magnetons per cell.